(1)
A plane-wave DFT calculation with PBE was carried out for an optimized crystal structure of NaU3S7.

Geometry as POSCAR:
```
NaU3S7
1.0
4.364 -4.795 0.000
4.364 4.795 0.000
-2.741 0.000 6.429
Na U S
1 3 7
Cartesian
0.000 0.000 0.000
2.993 2.182 3.214
4.364 0.000 0.000
2.993 -2.182 3.214
-1.371 0.000 3.214
0.851 1.979 4.835
2.343 0.000 1.642
5.135 1.979 1.593
0.851 -1.979 4.835
3.643 0.000 4.786
5.135 -1.979 1.593
```

=====

(2)
A plane-wave DFT calculation with PBE was carried out for an optimized crystal structure of NaUS.

Geometry as POSCAR:
```
NaUS
1.0
3.678 0.000 0.000
0.000 3.579 0.000
-0.564 0.000 11.319
Na U S
2 2 2
Cartesian
0.000 0.000 0.000
1.269 1.789 8.512
1.930 0.000 3.561
2.986 1.789 4.953
0.244 1.789 2.275
0.992 0.000 6.238
```

=====

(3)
A plane-wave DFT calculation with PBE was carried out for an optimized crystal structure of NaUS3.

Geometry as POSCAR:
```
NaUS3
1.0
5.164 0.000 0.000
0.000 5.164 0.000
0.000 0.000 5.164
Na U S
1 1 3
Cartesian
0.000 0.000 0.000
2.582 2.582 2.582
0.000 2.582 2.582
2.582 0.000 2.582
2.582 2.582 0.000
```

Computed properties:
Energy above the most stable polymorph in this dataset = 0.050 eV per atom

=====

(4)
A plane-wave DFT calculation with PBE was carried out for an optimized crystal structure of Na2U2VS6.

Geometry as POSCAR:
```
Na2U2VS6
1.0
3.319 -5.672 0.000
3.319 5.672 0.000
-2.173 0.000 6.824
Na U V S
2 2 1 6
Cartesian
3.319 3.758 0.000
3.319 -3.758 0.000
2.233 1.866 3.412
2.233 -1.866 3.412
-1.087 0.000 3.412
-0.037 1.797 4.882
0.946 0.000 1.934
-0.037 -1.797 4.882
4.502 1.797 1.942
3.520 0.000 4.891
4.502 -1.797 1.942
```

=====

(5)
A plane-wave DFT calculation with PBE was carried out for an optimized crystal structure of Na2Y2US6.

Geometry as POSCAR:
```
Na2Y2US6
1.0
3.462 -5.983 0.000
3.462 5.983 0.000
-2.297 0.000 6.730
Na Y U S
2 2 1 6
Cartesian
3.462 3.960 0.000
3.462 -3.960 0.000
2.313 1.987 3.365
2.313 -1.987 3.365
-1.149 0.000 3.365
-0.026 1.987 4.849
1.093 0.000 1.885
-0.026 -1.987 4.849
4.651 1.987 1.881
3.532 0.000 4.845
4.651 -1.987 1.881
```

=====

(6)
A plane-wave DFT calculation with PBE was carried out for an optimized crystal structure of Na2YUS4.

Geometry as POSCAR:
```
Na2YUS4
1.0
6.898 0.000 0.000
0.000 3.980 0.000
-2.295 0.000 6.719
Na Y U S
2 1 1 4
Cartesian
0.000 0.000 0.000
3.449 1.990 0.000
-1.148 1.990 3.359
2.301 0.000 3.359
0.002 0.000 4.900
1.150 1.990 1.816
3.452 1.990 4.902
4.600 0.000 1.819
```

=====

(7)
A plane-wave DFT calculation with PBE was carried out for an optimized crystal structure of NaY4US8.

Geometry as POSCAR:
```
NaY4US8
1.0
4.055 2.341 6.642
-4.055 2.341 6.642
0.000 -4.682 6.642
Na Y U S
1 4 1 8
Cartesian
0.000 0.000 0.000
0.000 -2.416 10.803
-2.092 1.208 10.803
0.000 0.000 14.925
2.092 1.208 10.803
0.000 0.000 7.408
0.000 0.000 2.697
0.000 -2.127 5.742
-1.842 1.064 5.742
-1.909 -1.102 9.203
1.842 1.064 5.742
0.000 0.000 12.279
1.909 -1.102 9.203
0.000 2.204 9.203
```

=====

(8)
A plane-wave DFT calculation with PBE was carried out for an optimized crystal structure of Na2YUS6.

Geometry as POSCAR:
```
Na2YUS6
1.0
6.915 0.000 0.000
0.000 7.343 0.000
-6.671 0.000 9.789
Na Y U S
4 2 2 12
Cartesian
-0.130 0.542 2.392
-3.466 3.130 7.286
3.710 4.213 2.503
0.375 6.801 7.397
-3.335 0.000 4.894
0.000 3.671 0.000
3.458 0.000 0.000
0.122 3.671 4.894
-5.215 1.456 9.165
-1.880 2.216 4.271
-4.542 5.252 9.108
-1.206 5.763 4.213
-2.380 0.273 7.420
0.956 3.399 2.525
-0.711 3.944 7.264
2.624 7.070 2.369
1.451 1.580 5.576
4.786 2.091 0.681
2.124 5.127 5.518
5.460 5.887 0.624
```

=====

Size of the total moment? In order: 5.00; 0.00; 1.00; 7.00; 2.00; 3.01; 2.99; 0.00 μB/f.u..
Uncorrected formation energy? In order: -1.2757; -0.8031; -1.1589; -1.2624; -1.6976; -1.5788; -1.8023; -1.2185 eV/atom.